Density functional theory data (PBE-GGA) for a relaxed RbLi2CuF6 crystal.

abc: 6.041 6.041 6.041
angles: 60.00 60.00 60.00
Fractional positions:
Rb 0.000 0.000 0.000
Li 0.250 0.250 0.250
Li 0.750 0.750 0.750
Cu 0.500 0.500 0.500
F 0.280 0.280 0.720
F 0.280 0.720 0.280
F 0.280 0.720 0.720
F 0.720 0.280 0.280
F 0.720 0.280 0.720
F 0.720 0.720 0.280

Calculated values
Calculated volume in Å³ per cell: 156
Crystal system: cubic
SG: Fm-3m (225)
E_tot in eV/atom: -3.80